Below is a geometry-optimized MgReIr3 structure, with properties calculated at the PBE-GGA level.

size of the total moment	0.0	μB per cell
polymorph energy (0 for the lowest one)	0	meV/atom
ΔE_f	1.26	eV/atom

```
MgReIr3
1.0
4.756 0.000 0.000
0.000 4.756 0.000
0.000 0.000 4.756
Ir Re Mg
3 1 1
Direct
0.000 0.500 0.000
0.500 0.000 0.000
0.000 0.000 0.500
0.000 0.000 0.000
0.500 0.500 0.500
```

=====

Below is a geometry-optimized Ce8TlOs2 structure, with properties calculated at the PBE-GGA level.

size of the total moment	1.1	μB per cell
polymorph energy (0 for the lowest one)	0	meV/atom
ΔE_f	-0.12	eV/atom

```
Ce8TlOs2
1.0
0.546 -1.786 -5.002
4.848 -3.940 1.937
-8.089 -3.093 2.899
Ce Os Tl
8 2 1
Direct
0.350 0.852 0.362
0.722 0.898 0.086
0.136 0.510 0.909
0.923 0.399 0.456
0.964 0.018 0.535
0.636 0.304 0.909
0.309 0.392 0.284
0.551 0.722 0.732
0.779 0.608 0.225
0.494 0.292 0.593
0.136 0.005 0.909
```

=====

Record-wise electronic total energy values, in eV/cell: -34.3; -73.6